# 1
## LiHfGe2 (PBE)

Data for LiHfGe2 after structural relaxation.

Geometry as POSCAR:
```
LiHfGe2
1.0
-3.482 3.482 2.912
3.482 -3.482 2.912
3.482 3.482 -2.912
Li Hf Ge
2 2 4
Direct
0.000 0.000 0.000
0.750 0.250 0.500
0.250 0.750 0.500
0.500 0.500 0.000
0.090 0.625 0.965
0.375 0.340 0.465
0.660 0.125 0.035
0.875 0.910 0.535
```

Properties
ΔH_f (0 K): -2.39 kcal/mol of atoms
Total energy: -5.379 eV/atom

# 2
## Li2Hf2Ge (PBE)

Data for Li2Hf2Ge after structural relaxation.

Geometry as POSCAR:
```
Li2Hf2Ge
1.0
-2.068 2.068 5.415
2.068 -2.068 5.415
2.068 2.068 -5.415
Li Hf Ge
2 2 1
Direct
0.083 0.083 0.000
0.917 0.917 0.000
0.250 0.750 0.500
0.750 0.250 0.500
0.500 0.500 0.000
```

Properties
ΔH_f (0 K): 10.54 kcal/mol of atoms
Total energy: -5.213 eV/atom

# 3
## LiHfGe2 (PBE)

Data for LiHfGe2 after structural relaxation.

Geometry as POSCAR:
```
LiHfGe2
1.0
3.298 0.000 0.000
0.000 3.298 0.000
0.000 0.000 6.212
Li Hf Ge
1 1 2
Direct
0.000 0.000 0.000
0.000 0.000 0.500
0.500 0.500 0.222
0.500 0.500 0.778
```

Properties
ΔH_f (0 K): -6.65 kcal/mol of atoms
Total energy: -5.564 eV/atom

# 4
## Li3HfGe (PBE)

Data for Li3HfGe after structural relaxation.

Geometry as POSCAR:
```
Li3HfGe
1.0
4.483 0.000 0.000
0.000 4.483 0.000
0.000 0.000 4.483
Li Hf Ge
3 1 1
Direct
0.000 0.000 0.500
0.000 0.500 0.000
0.500 0.000 0.000
0.500 0.500 0.500
0.000 0.000 0.000
```

Properties
ΔH_f (0 K): 10.95 kcal/mol of atoms
Total energy: -3.588 eV/atom

> Number 4 is which compound?

Li3HfGe